Entry 1:
Material: NaLuZnGe
Method: DFT, PBE
State: optimized geometry

Output
The calculation puts the formation energy from the elements at -0.259 eV/atom. Its space-group type is F-43m, No. 216.

a b c (Å): 4.918 4.918 4.918
angles (deg): 60.00 60.00 60.00
Element x y z (fractional)
Na: 0.750 0.750 0.750
Ge: 0.500 0.500 0.500
Lu: 0.250 0.250 0.250
Zn: 0.000 0.000 0.000

=====

Entry 2:
Material: NdLuGe
Method: DFT, PBE
State: optimized geometry

Output
The calculation puts the formation energy from the elements at -0.441 eV/atom. Its space-group type is P3m1, No. 156.

a b c (Å): 4.224 4.747 4.747
angles (deg): 120.00 90.00 90.00
Element x y z (fractional)
Ge: 0.209 0.333 0.667
Lu: 0.140 0.000 0.000
Nd: 0.651 0.667 0.333

=====

Entry 3:
Material: NdLuGe
Method: DFT, PBE
State: optimized geometry

Output
The calculation puts the formation energy from the elements at -0.495 eV/atom. Its space-group type is F-43m, No. 216.

a b c (Å): 4.922 4.922 4.922
angles (deg): 60.00 60.00 60.00
Element x y z (fractional)
Ge: 0.250 0.250 0.250
Lu: 0.000 0.000 0.000
Nd: 0.500 0.500 0.500

=====

Entry 4:
Material: NdLu2Ge
Method: DFT, PBE
State: optimized geometry

Output
The calculation puts the formation energy from the elements at -0.064 eV/atom. Its space-group type is R-3m, No. 166.

a b c (Å): 3.505 3.505 11.074
angles (deg): 80.89 80.89 60.00
Element x y z (fractional)
Ge: 0.500 0.500 0.500
Lu: 0.105 0.105 0.685
Lu: 0.895 0.895 0.315
Nd: 0.000 0.000 0.000